Material: TlSe3
Method: DFT, SCAN
State: single point on PBEsol structure

Output
Calculated total energy (eV/atom): -33.2233
Total magnetic moment (μB/atom): 0.000
Formation energy without anion corrections (meV per atom): -75
DOS at the Fermi energy (states/eV/f.u.): 0.97

a b c (Å): 6.348 8.759 10.941
angles (deg): 90.00 90.00 90.00
Atoms (fractional coordinates):
Se  0.298  0.000  0.342
Se  0.851  0.287  0.317
Se  0.149  0.213  0.183
Se  0.298  0.000  0.658
Se  0.851  0.287  0.683
Se  0.421  0.801  0.500
Se  0.702  0.500  0.158
Se  0.142  0.000  0.000
Se  0.149  0.213  0.817
Se  0.421  0.199  0.500
Se  0.579  0.699  0.000
Se  0.149  0.787  0.817
Se  0.858  0.500  0.500
Se  0.851  0.713  0.683
Se  0.702  0.500  0.842
Se  0.851  0.713  0.317
Se  0.149  0.787  0.183
Se  0.579  0.301  0.000
Tl  0.684  0.000  0.842
Tl  0.316  0.500  0.658
Tl  0.316  0.500  0.342
Tl  0.684  0.000  0.158
Tl  0.145  0.500  0.000
Tl  0.855  0.000  0.500

=====

Material: Tl3Se
Method: DFT, SCAN
State: single point on PBEsol structure

Output
Calculated total energy (eV/atom): -59.5001
Total magnetic moment (μB/atom): 0.000
Formation energy without anion corrections (meV per atom): -212
DOS at the Fermi energy (states/eV/f.u.): 1.24

a b c (Å): 4.778 4.778 4.780
angles (deg): 90.00 90.00 90.00
Atoms (fractional coordinates):
Tl  0.500  0.500  0.917
Tl  0.500  0.000  0.417
Tl  0.000  0.500  0.417
Se  0.000  0.000  0.918

=====

Material: Tl3Se
Method: DFT, SCAN
State: single point on PBEsol structure

Output
Calculated total energy (eV/atom): -59.4887
Total magnetic moment (μB/atom): 0.000
Formation energy without anion corrections (meV per atom): -200
DOS at the Fermi energy (states/eV/f.u.): 0.86

a b c (Å): 3.935 3.935 6.964
angles (deg): 90.00 90.00 90.00
Atoms (fractional coordinates):
Tl  0.000  0.000  0.500
Tl  0.500  0.500  0.772
Tl  0.500  0.500  0.228
Se  0.000  0.000  0.000